Entry 1:
Entry from Alexandria: a geometry-optimized Ce3AsN3 structure (PBE).

Energy above the lowest structure with this stoichiometry: 0.00 eV per formula unit

abc: 13.370 3.882 11.714
angles: 90.00 118.43 90.00
Space group C2/m (No. 12)
Asymmetric unit:
Ce 0.121 0.000 0.448
Ce 0.131 0.000 0.889
Ce 0.147 0.500 0.202
As 0.126 0.500 0.678
N 0.061 0.000 0.210
N 0.164 0.500 0.010
N 0.189 0.500 0.410


Entry 2:
Entry from Alexandria: a geometry-optimized ScHg2PbSe structure (PBE).

abc: 5.494 5.494 4.970
angles: 90.00 90.00 90.00
Space group P4/mmm (No. 123)
Asymmetric unit:
Sc 0.000 0.000 0.000
Hg 0.000 0.500 0.500
Pb 0.500 0.500 0.000
Se 0.000 0.000 0.500


Entry 3:
Entry from Alexandria: a geometry-optimized SbOsWI2 structure (PBE).

Energy above the lowest structure with this stoichiometry: 0.00 eV per formula unit

abc: 5.468 5.468 5.026
angles: 90.00 90.00 90.00
Space group P4/mmm (No. 123)
Asymmetric unit:
Sb 0.000 0.000 0.000
Os 0.000 0.000 0.500
W 0.500 0.500 0.000
I 0.000 0.500 0.500


Number 1: E_form (uncorrected) -1418.4 meV per atom, energy -229.42 eV per cell. Number 2: E_form (uncorrected) 75.9 meV per atom, energy -13.75 eV per cell. Number 3: E_form (uncorrected) 1796.3 meV per atom, energy -22.42 eV per cell.